<one>
Density functional theory data (PBE) for Zr3Al2Si3 after structural relaxation.

Summary:
**SG**: Cmcm
**Total magnetic moment**: 0.000 μB/cell
**V**: 19.260 Å³ per atom
**Theoretical density**: 4.4 g/cm3

a = 8.551 Å, b = 8.551 Å, c = 5.356 Å
α = 90.00°, β = 90.00°, γ = 128.10°
Sites, in units of the cell vectors:
1 Si 0.636 0.971 0.750
2 Zr 0.697 0.697 0.750
3 Zr 0.995 0.333 0.750
4 Al 0.653 0.347 0.500
5 Si 0.971 0.636 0.750
6 Si 0.677 0.677 0.250
7 Al 0.347 0.653 0.000
8 Zr 0.667 0.005 0.250
9 Si 0.323 0.323 0.750
10 Zr 0.303 0.303 0.250
11 Si 0.029 0.364 0.250
12 Zr 0.333 0.995 0.750
13 Al 0.653 0.347 0.000
14 Al 0.347 0.653 0.500
15 Si 0.364 0.029 0.250
16 Zr 0.005 0.667 0.250

***

<two>
Density functional theory data (PBE) for Zr3Al2Si3 after structural relaxation.

Summary:
**SG**: P-62m
**Total magnetic moment**: 0.000 μB/cell
**V**: 17.419 Å³ per atom
**Theoretical density**: 4.9 g/cm3

a = 7.426 Å, b = 7.426 Å, c = 2.918 Å
α = 90.00°, β = 90.00°, γ = 120.00°
Sites, in units of the cell vectors:
1 Zr 0.749 0.000 0.000
2 Zr 0.000 0.749 0.000
3 Si 0.000 0.393 0.500
4 Si 0.607 0.607 0.500
5 Si 0.393 0.000 0.500
6 Zr 0.251 0.251 0.000
7 Al 0.667 0.333 0.000
8 Al 0.333 0.667 0.000

***

<one> takes first place; second place is 139 meV/atom up.

***

<one>
Density functional theory data (PBE) for Zr5AlSi after structural relaxation.

Summary:
**SG**: P4/mmm
**Total magnetic moment**: 0.000 μB/cell
**V**: 21.551 Å³ per atom
**Theoretical density**: 5.6 g/cm3

a = 4.388 Å, b = 4.388 Å, c = 7.836 Å
α = 90.00°, β = 90.00°, γ = 90.00°
Sites, in units of the cell vectors:
1 Al 0.000 0.000 0.000
2 Zr 0.500 0.500 0.000
3 Zr 0.000 0.500 0.720
4 Zr 0.000 0.500 0.280
5 Zr 0.500 0.000 0.720
6 Si 0.000 0.000 0.500
7 Zr 0.500 0.000 0.280

***

<two>
Density functional theory data (PBE) for Zr5AlSi after structural relaxation.

Summary:
**SG**: P4/mmm
**Total magnetic moment**: 0.000 μB/cell
**V**: 21.665 Å³ per atom
**Theoretical density**: 5.6 g/cm3

a = 4.381 Å, b = 4.381 Å, c = 7.901 Å
α = 90.00°, β = 90.00°, γ = 90.00°
Sites, in units of the cell vectors:
1 Zr 0.000 0.500 0.262
2 Zr 0.500 0.500 0.000
3 Zr 0.500 0.000 0.262
4 Si 0.000 0.000 0.000
5 Zr 0.500 0.000 0.738
6 Zr 0.000 0.500 0.738
7 Al 0.000 0.000 0.500

***

<one> takes first place; second place is 159 meV/atom up.

***

<one>
Density functional theory data (PBE) for ZrAl3Si2 after structural relaxation.

Summary:
**SG**: Cmmm
**Total magnetic moment**: 0.000 μB/cell
**V**: 16.531 Å³ per atom
**Theoretical density**: 3.8 g/cm3

a = 6.217 Å, b = 6.217 Å, c = 3.892 Å
α = 90.00°, β = 90.00°, γ = 138.75°
Sites, in units of the cell vectors:
1 Al 0.327 0.673 0.000
2 Al 0.500 0.500 0.500
3 Si 0.824 0.176 0.500
4 Al 0.673 0.327 0.000
5 Zr 0.000 0.000 0.000
6 Si 0.176 0.824 0.500

***

<two>
Density functional theory data (PBE) for ZrAl3Si2 after structural relaxation.

Summary:
**SG**: P6/mmm
**Total magnetic moment**: 0.000 μB/cell
**V**: 16.772 Å³ per atom
**Theoretical density**: 3.8 g/cm3

a = 5.239 Å, b = 5.239 Å, c = 4.233 Å
α = 90.00°, β = 90.00°, γ = 120.00°
Sites, in units of the cell vectors:
1 Si 0.667 0.333 0.000
2 Al 0.000 0.500 0.500
3 Al 0.500 0.000 0.500
4 Al 0.500 0.500 0.500
5 Zr 0.000 0.000 0.000
6 Si 0.333 0.667 0.000

***

<three>
Density functional theory data (PBE) for ZrAl3Si2 after structural relaxation.

Summary:
**SG**: Cmcm
**Total magnetic moment**: 0.000 μB/cell
**V**: 18.464 Å³ per atom
**Theoretical density**: 3.4 g/cm3

a = 5.073 Å, b = 5.073 Å, c = 9.971 Å
α = 90.00°, β = 90.00°, γ = 120.29°
Sites, in units of the cell vectors:
1 Zr 0.000 0.000 0.500
2 Si 0.331 0.669 0.116
3 Al 0.334 0.166 0.250
4 Zr 0.000 0.000 0.000
5 Al 0.666 0.834 0.750
6 Al 0.166 0.334 0.750
7 Si 0.669 0.331 0.616
8 Si 0.669 0.331 0.884
9 Si 0.331 0.669 0.384
10 Al 0.834 0.166 0.250
11 Al 0.834 0.666 0.250
12 Al 0.166 0.834 0.750

***

<one> takes first place; second place is 97 meV/atom up.

***

<one>
Density functional theory data (PBE) for Zr4Al2Si after structural relaxation.

Summary:
**SG**: P3m1
**Total magnetic moment**: 0.674 μB/cell
**V**: 26.677 Å³ per atom
**Theoretical density**: 4.0 g/cm3

a = 4.155 Å, b = 4.155 Å, c = 12.488 Å
α = 90.00°, β = 90.00°, γ = 120.00°
Sites, in units of the cell vectors:
1 Al 0.667 0.333 0.057
2 Zr 0.667 0.333 0.787
3 Zr 0.000 0.000 0.937
4 Al 0.333 0.667 0.391
5 Si 0.000 0.000 0.712
6 Zr 0.000 0.000 0.503
7 Zr 0.667 0.333 0.282

***

<two>
Density functional theory data (PBE) for Zr4Al2Si after structural relaxation.

Summary:
**SG**: P2_1/m
**Total magnetic moment**: 0.000 μB/cell
**V**: 20.354 Å³ per atom
**Theoretical density**: 5.2 g/cm3

a = 4.143 Å, b = 5.812 Å, c = 12.029 Å
α = 79.69°, β = 90.00°, γ = 90.00°
Sites, in units of the cell vectors:
1 Zr 0.750 0.841 0.097
2 Si 0.750 0.031 0.760
3 Al 0.750 0.452 0.940
4 Al 0.250 0.548 0.060
5 Zr 0.750 0.906 0.397
6 Al 0.250 0.631 0.531
7 Zr 0.250 0.479 0.304
8 Zr 0.750 0.521 0.696
9 Si 0.250 0.969 0.240
10 Zr 0.250 0.159 0.903
11 Zr 0.250 0.094 0.603
12 Zr 0.750 0.272 0.172
13 Al 0.750 0.369 0.469
14 Zr 0.250 0.728 0.828

***

<three>
Density functional theory data (PBE) for Zr4Al2Si after structural relaxation.

Summary:
**SG**: C2/m
**Total magnetic moment**: 0.000 μB/cell
**V**: 19.864 Å³ per atom
**Theoretical density**: 5.3 g/cm3

a = 4.882 Å, b = 4.882 Å, c = 16.699 Å
α = 59.47°, β = 59.47°, γ = 59.51°
Sites, in units of the cell vectors:
1 Al 0.977 0.977 0.739
2 Zr 0.819 0.819 0.158
3 Si 0.827 0.827 0.443
4 Zr 0.181 0.181 0.842
5 Zr 0.776 0.776 0.623
6 Zr 0.453 0.453 0.604
7 Zr 0.224 0.224 0.377
8 Al 0.488 0.488 0.157
9 Si 0.173 0.173 0.557
10 Al 0.512 0.512 0.843
11 Zr 0.723 0.723 0.951
12 Zr 0.547 0.547 0.396
13 Zr 0.277 0.277 0.049
14 Al 0.023 0.023 0.261

***

<four>
Density functional theory data (PBE) for Zr4Al2Si after structural relaxation.

Summary:
**SG**: P-3m1
**Total magnetic moment**: 0.000 μB/cell
**V**: 22.795 Å³ per atom
**Theoretical density**: 4.7 g/cm3

a = 3.359 Å, b = 3.359 Å, c = 16.335 Å
α = 90.00°, β = 90.00°, γ = 120.00°
Sites, in units of the cell vectors:
1 Al 0.333 0.667 0.219
2 Zr 0.333 0.667 0.925
3 Zr 0.333 0.667 0.395
4 Zr 0.667 0.333 0.605
5 Si 0.000 0.000 0.500
6 Zr 0.667 0.333 0.075
7 Al 0.667 0.333 0.781

***

<two> takes first place; second place is 145 meV/atom up.

***

<one>
Density functional theory data (PBE) for Zr2Al4Si after structural relaxation.

Summary:
**SG**: Pmmn
**Total magnetic moment**: 0.000 μB/cell
**V**: 18.584 Å³ per atom
**Theoretical density**: 4.1 g/cm3

a = 4.148 Å, b = 9.445 Å, c = 6.641 Å
α = 90.02°, β = 90.00°, γ = 90.00°
Sites, in units of the cell vectors:
1 Al 0.250 0.023 0.384
2 Al 0.250 0.016 0.868
3 Al 0.250 0.484 0.868
4 Al 0.750 0.984 0.132
5 Si 0.750 0.750 0.887
6 Al 0.750 0.977 0.616
7 Al 0.250 0.477 0.383
8 Zr 0.750 0.250 0.857
9 Al 0.750 0.523 0.617
10 Al 0.750 0.516 0.132
11 Zr 0.750 0.250 0.369
12 Si 0.250 0.250 0.113
13 Zr 0.250 0.750 0.631
14 Zr 0.250 0.750 0.143

***

<two>
Density functional theory data (PBE) for Zr2Al4Si after structural relaxation.

Summary:
**SG**: P3m1
**Total magnetic moment**: 0.000 μB/cell
**V**: 19.240 Å³ per atom
**Theoretical density**: 3.9 g/cm3

a = 3.062 Å, b = 3.062 Å, c = 16.588 Å
α = 90.00°, β = 90.00°, γ = 120.00°
Sites, in units of the cell vectors:
1 Zr 0.000 0.000 0.395
2 Al 0.667 0.333 0.536
3 Si 0.667 0.333 0.685
4 Al 0.667 0.333 0.931
5 Zr 0.333 0.667 0.074
6 Al 0.333 0.667 0.247
7 Al 0.333 0.667 0.801

***

<one> takes first place; second place is 357 meV/atom up.

***

<one>
Density functional theory data (PBE) for Zr2Al4Si after structural relaxation.

Summary:
**SG**: P-3m1
**Total magnetic moment**: 0.000 μB/cell
**V**: 19.163 Å³ per atom
**Theoretical density**: 3.9 g/cm3

a = 3.056 Å, b = 3.056 Å, c = 16.583 Å
α = 90.00°, β = 90.00°, γ = 120.00°
Sites, in units of the cell vectors:
1 Zr 0.333 0.667 0.210
2 Zr 0.667 0.333 0.790
3 Si 0.000 0.000 0.500
4 Al 0.333 0.667 0.379
5 Al 0.667 0.333 0.065
6 Al 0.667 0.333 0.621
7 Al 0.333 0.667 0.935

***

<two>
Density functional theory data (PBE) for Zr2Al4Si after structural relaxation.

Summary:
**SG**: C2/m
**Total magnetic moment**: 0.000 μB/cell
**V**: 18.675 Å³ per atom
**Theoretical density**: 4.0 g/cm3

a = 3.219 Å, b = 3.053 Å, c = 32.504 Å
α = 76.81°, β = 90.00°, γ = 121.82°
Sites, in units of the cell vectors:
1 Al 0.730 0.461 0.966
2 Si 0.518 0.037 0.595
3 Al 0.270 0.539 0.034
4 Zr 0.507 0.015 0.890
5 Al 0.239 0.477 0.812
6 Zr 0.493 0.985 0.110
7 Zr 0.965 0.930 0.734
8 Al 0.726 0.452 0.466
9 Al 0.750 0.499 0.658
10 Si 0.482 0.963 0.405
11 Al 0.250 0.501 0.342
12 Zr 0.035 0.070 0.266
13 Al 0.761 0.523 0.188
14 Al 0.274 0.548 0.534

***

<two> takes first place; second place is 176 meV/atom up.

***

<one>
Density functional theory data (PBE) for Zr2AlSi5 after structural relaxation.

Summary:
**SG**: Pbam
**Total magnetic moment**: 0.000 μB/cell
**V**: 16.563 Å³ per atom
**Theoretical density**: 4.4 g/cm3

a = 4.535 Å, b = 5.370 Å, c = 10.883 Å
α = 90.00°, β = 90.00°, γ = 90.00°
Sites, in units of the cell vectors:
1 Zr 0.500 0.827 0.847
2 Zr 0.500 0.173 0.153
3 Si 0.000 0.070 0.759
4 Si 0.000 0.430 0.259
5 Si 0.000 0.570 0.741
6 Si 0.000 0.500 0.500
7 Si 0.500 0.827 0.589
8 Si 0.500 0.673 0.089
9 Si 0.500 0.173 0.411
10 Al 0.000 0.500 0.000
11 Si 0.000 0.930 0.241
12 Al 0.000 0.000 0.500
13 Zr 0.500 0.673 0.347
14 Si 0.000 0.000 0.000
15 Si 0.500 0.327 0.911
16 Zr 0.500 0.327 0.653

***

<two>
Density functional theory data (PBE) for Zr2AlSi5 after structural relaxation.

Summary:
**SG**: I4/mmm
**Total magnetic moment**: 0.000 μB/cell
**V**: 16.501 Å³ per atom
**Theoretical density**: 4.4 g/cm3

a = 8.479 Å, b = 8.479 Å, c = 8.479 Å
α = 152.24°, β = 152.24°, γ = 39.66°
Sites, in units of the cell vectors:
1 Zr 0.750 0.750 0.000
2 Si 0.500 0.500 0.000
3 Zr 0.250 0.250 0.000
4 Si 0.120 0.620 0.500
5 Si 0.880 0.380 0.500
6 Si 0.620 0.120 0.500
7 Al 0.000 0.000 0.000
8 Si 0.380 0.880 0.500

***

<three>
Density functional theory data (PBE) for Zr2AlSi5 after structural relaxation.

Summary:
**SG**: Immm
**Total magnetic moment**: 0.000 μB/cell
**V**: 17.460 Å³ per atom
**Theoretical density**: 4.2 g/cm3

a = 6.883 Å, b = 6.883 Å, c = 6.883 Å
α = 149.70°, β = 120.77°, γ = 67.98°
Sites, in units of the cell vectors:
1 Si 0.819 0.602 0.216
2 Zr 0.263 0.763 0.500
3 Si 0.500 0.000 0.500
4 Si 0.386 0.602 0.784
5 Al 0.000 0.000 0.000
6 Si 0.181 0.398 0.784
7 Zr 0.737 0.237 0.500
8 Si 0.614 0.398 0.216

***

<one> takes first place; second place is 31 meV/atom up.

***

<one>
Density functional theory data (PBE) for ZrAl5Si after structural relaxation.

Summary:
**SG**: P4/mmm
**Total magnetic moment**: 0.000 μB/cell
**V**: 18.420 Å³ per atom
**Theoretical density**: 3.3 g/cm3

a = 3.885 Å, b = 3.885 Å, c = 8.542 Å
α = 90.00°, β = 90.00°, γ = 90.00°
Sites, in units of the cell vectors:
1 Al 0.000 0.500 0.751
2 Al 0.500 0.000 0.751
3 Si 0.000 0.000 0.000
4 Zr 0.000 0.000 0.500
5 Al 0.500 0.500 0.000
6 Al 0.000 0.500 0.249
7 Al 0.500 0.000 0.249

***

<two>
Density functional theory data (PBE) for ZrAl5Si after structural relaxation.

Summary:
**SG**: P4/mmm
**Total magnetic moment**: 0.000 μB/cell
**V**: 18.196 Å³ per atom
**Theoretical density**: 3.3 g/cm3

a = 3.975 Å, b = 3.975 Å, c = 8.061 Å
α = 90.00°, β = 90.00°, γ = 90.00°
Sites, in units of the cell vectors:
1 Al 0.500 0.000 0.727
2 Al 0.500 0.000 0.273
3 Al 0.000 0.500 0.727
4 Al 0.000 0.500 0.273
5 Al 0.500 0.500 0.000
6 Si 0.000 0.000 0.500
7 Zr 0.000 0.000 0.000

***

<two> takes first place; second place is 146 meV/atom up.

***

<one>
Density functional theory data (PBE) for Sm3Al after structural relaxation.

Summary:
**SG**: I4/mmm
**Total magnetic moment**: 0.000 μB/cell
**V**: 28.332 Å³ per atom
**Theoretical density**: 7.0 g/cm3

a = 4.780 Å, b = 4.780 Å, c = 6.002 Å
α = 113.46°, β = 113.46°, γ = 90.00°
Sites, in units of the cell vectors:
1 Sm 0.750 0.250 0.500
2 Sm 0.500 0.500 0.000
3 Al 0.000 0.000 0.000
4 Sm 0.250 0.750 0.500

***

<two>
Density functional theory data (PBE) for Sm3Al after structural relaxation.

Summary:
**SG**: P6_3/mmc
**Total magnetic moment**: 0.000 μB/cell
**V**: 28.498 Å³ per atom
**Theoretical density**: 7.0 g/cm3

a = 7.017 Å, b = 7.017 Å, c = 5.347 Å
α = 90.00°, β = 90.00°, γ = 120.00°
Sites, in units of the cell vectors:
1 Sm 0.355 0.177 0.750
2 Sm 0.823 0.177 0.750
3 Sm 0.177 0.823 0.250
4 Al 0.333 0.667 0.750
5 Sm 0.645 0.823 0.250
6 Sm 0.823 0.645 0.750
7 Sm 0.177 0.355 0.250
8 Al 0.667 0.333 0.250

***

<two> takes first place; second place is 38 meV/atom up.

***

<one>
Density functional theory data (PBE) for Sm3Al after structural relaxation.

Summary:
**SG**: Imm2
**Total magnetic moment**: 0.000 μB/cell
**V**: 29.767 Å³ per atom
**Theoretical density**: 6.7 g/cm3

a = 3.826 Å, b = 5.355 Å, c = 6.679 Å
α = 113.63°, β = 106.64°, γ = 90.00°
Sites, in units of the cell vectors:
1 Sm 0.286 0.702 0.572
2 Sm 0.714 0.130 0.428
3 Sm 0.500 0.417 0.000
4 Al 0.000 0.918 0.000

***

<two>
Density functional theory data (PBE) for Sm3Al after structural relaxation.

Summary:
**SG**: Pmm2
**Total magnetic moment**: 0.000 μB/cell
**V**: 31.071 Å³ per atom
**Theoretical density**: 6.4 g/cm3

a = 3.415 Å, b = 3.471 Å, c = 10.486 Å
α = 90.00°, β = 90.00°, γ = 90.00°
Sites, in units of the cell vectors:
1 Sm 0.000 0.500 0.469
2 Al 0.000 0.000 0.975
3 Sm 0.500 0.500 0.163
4 Sm 0.500 0.000 0.726

***

<one> takes first place; second place is 247 meV/atom up.